## NbB2Se (PBE)

Data for NbB2Se after structural relaxation.

POSCAR file:
```
NbB2Se
1.0
-3.6593 4.0739 0.2412
-2.6795 -2.1542 -4.2691
-5.3195 -1.1133 0.3817
B Nb Se
4 2 2
Cartesian
-6.4594 -0.1896 -1.3719
-3.8253 1.8577 -0.2958
-3.5886 -0.9745 -2.5343
-9.4435 0.9193 -3.0905
-6.0742 1.9602 -0.6955
0.0000 0.0000 0.0000
-5.5842 -1.1538 -2.9507
-3.1694 0.9599 -2.0140
```

Results
As for the space-group type: I-42d. The value obtained for the magnetic moment is 0.00 μB/f.u. For the formation energy (no corrections), the calculation gives 0.74 eV/atom.